A relaxed structure of As3IF, computed with PBE.

Computed properties:
Distance to the lowest polymorph of the same formula ... 0 meV/atom
Magnetic moment ... 0.0 μB/f.u.
SG ... Pm-3m

a = 4.747 Å, b = 4.747 Å, c = 4.747 Å
α = 90.00°, β = 90.00°, γ = 90.00°
Positions (direct):
1 F 0.000 0.000 0.000
2 As 0.000 0.500 0.000
3 As 0.500 0.000 0.000
4 As 0.000 0.000 0.500
5 I 0.500 0.500 0.500


A relaxed structure of AsIF3, computed with PBE.

Computed properties:
Distance to the lowest polymorph of the same formula ... 1459 meV/atom
Magnetic moment ... 2.3 μB/f.u.
SG ... Pm-3m

a = 4.704 Å, b = 4.704 Å, c = 4.704 Å
α = 90.00°, β = 90.00°, γ = 90.00°
Last column: magnetic moment on the atom in μB.
Positions (direct):
1 F 0.500 0.000 0.000  0.02
2 F 0.000 0.000 0.500  0.06
3 F 0.000 0.500 0.000  0.02
4 As 0.500 0.500 0.500  1.12
5 I 0.000 0.000 0.000  -0.13


A relaxed structure of AsI3F6, computed with PBE.

Computed properties:
Magnetic moment ... 0.0 μB/f.u.
SG ... P-1

a = 8.309 Å, b = 6.133 Å, c = 10.616 Å
α = 100.84°, β = 90.32°, γ = 97.68°
Positions (direct):
1 F 0.786 0.358 0.905
2 F 0.138 0.225 0.064
3 F 0.426 0.396 0.128
4 F 0.245 0.227 0.284
5 F 0.323 0.645 0.318
6 F 0.214 0.642 0.095
7 F 0.966 0.527 0.747
8 F 0.862 0.775 0.936
9 F 0.574 0.604 0.872
10 F 0.677 0.355 0.682
11 F 0.034 0.473 0.253
12 F 0.755 0.773 0.716
13 I 0.776 0.772 0.465
14 I 0.821 0.801 0.216
15 I 0.179 0.199 0.784
16 I 0.619 0.091 0.176
17 I 0.381 0.909 0.824
18 I 0.224 0.228 0.535
19 As 0.770 0.560 0.810
20 As 0.230 0.440 0.190


A relaxed structure of AsIF3, computed with PBE.

Computed properties:
Distance to the lowest polymorph of the same formula ... 0 meV/atom
Magnetic moment ... 0.0 μB/f.u.
SG ... Pc

a = 4.585 Å, b = 11.424 Å, c = 4.603 Å
α = 90.01°, β = 88.80°, γ = 89.97°
Positions (direct):
1 As 0.146 0.515 0.629
2 As 0.646 0.838 0.128
3 F 0.773 0.472 0.609
4 F 0.679 0.886 0.494
5 F 0.178 0.466 0.994
6 F 0.566 0.691 0.226
7 F 0.273 0.881 0.108
8 F 0.067 0.662 0.726
9 I 0.714 0.176 0.047
10 I 0.214 0.177 0.547


Number 1: raw formation energy 534.2 meV per atom. Number 2: raw formation energy -230.1 meV per atom. Number 3: raw formation energy -1465.3 meV per atom. Number 4: raw formation energy -1689.5 meV per atom.